VASP calculation (GGA-PBE) on crystalline Cs4Pm3TmTe8 at its relaxed geometry. Values from VASP.

Properties
- space group = R-3m, No. 166
- formation energy (no corrections) (kJ per mole of atoms) = -134.7
- VASP energy (eV per atom) = -4.3505
- total moment (Bohr magnetons per cell) = 0.00

Quantum ESPRESSO input file:
```
&SYSTEM
  ibrav = 0, nat = 16, ntyp = 4
/
ATOMIC_SPECIES
Cs 132.91 Cs.upf
Pm 145.00 Pm.upf
Tm 168.93 Tm.upf
Te 127.60 Te.upf
CELL_PARAMETERS angstrom
9.233 0.000 0.000
0.000 10.376 0.802
-4.617 -4.616 6.531
ATOMIC_POSITIONS crystal
Cs 0.500 0.000 0.000
Cs 0.500 0.000 0.500
Cs 0.000 0.000 0.000
Cs 0.000 0.000 0.500
Pm 0.500 0.500 0.000
Pm 0.500 0.500 0.500
Pm 0.000 0.500 0.500
Tm 0.000 0.500 0.000
Te 0.227 0.691 0.965
Te 0.227 0.691 0.453
Te 0.268 0.305 0.537
Te 0.738 0.691 0.965
Te 0.262 0.309 0.035
Te 0.732 0.695 0.463
Te 0.773 0.309 0.547
Te 0.773 0.309 0.035
```